A plane-wave DFT calculation with GGA-PBE was carried out for Na3MnRe after structural relaxation.

Values from the calculation:
Uncorrected energy: -3.238 eV per atom
Distance to the lowest polymorph of the same formula: 0 meV per atom
Crystal system: cubic
Formation energy: 1.877 eV/atom

CIF file:
```
data_Na3MnRe
_chemical_formula_sum 'Na3 Mn1 Re1'
_cell_length_a 5.678
_cell_length_b 5.678
_cell_length_c 5.678
_cell_angle_alpha 90.00
_cell_angle_beta 90.00
_cell_angle_gamma 90.00
_space_group_name_H-M_alt 'P 1'
_space_group_IT_number 1
loop_
_space_group_symop_operation_xyz
'x,y,z'
loop_
_atom_site_label
_atom_site_fract_x
_atom_site_fract_y
_atom_site_fract_z
Re1 0.000 0.000 0.000
Mn1 0.500 0.500 0.500
Na1 0.000 0.500 0.000
Na2 0.000 0.000 0.500
Na3 0.500 0.000 0.000
```